Cs2ThCl6, relaxed, DFT GGA-PBEsol; uncorrected energy = -4.60 eV/atom; formation energy without anion corrections = -49.52 kcal/mol of atoms; Fermi-level density of states = 0.000 states/eV/atom
1.0
-1.155 1.812 5.597
0.855 -7.074 2.466
5.937 4.639 -0.276
Cs Th Cl
2 1 6
direct
0.737 0.333 0.667 Cs
0.263 0.667 0.333 Cs
0.000 0.000 0.000 Th
0.243 0.171 0.342 Cl
0.243 0.171 0.829 Cl
0.243 0.658 0.829 Cl
0.757 0.829 0.658 Cl
0.757 0.829 0.171 Cl
0.757 0.342 0.171 Cl

***

Cs3TiCl, relaxed, DFT GGA-PBEsol; uncorrected energy = -2.31 eV/atom; formation energy without anion corrections = 7.51 kcal/mol of atoms; Fermi-level density of states = 1.320 states/eV/atom
1.0
-5.738 2.883 1.722
-2.127 -0.482 -6.280
-2.598 -5.971 1.339
Cs Cl Ti
3 1 1
direct
0.000 0.500 0.000 Cs
0.000 0.000 0.500 Cs
0.500 0.000 0.000 Cs
0.500 0.500 0.500 Cl
0.000 0.000 0.000 Ti

***

Cs2TlCl5, relaxed, DFT GGA-PBEsol; uncorrected energy = -3.22 eV/atom; formation energy without anion corrections = -32.36 kcal/mol of atoms; Fermi-level density of states = 0.000 states/eV/atom
1.0
7.397 0.000 0.000
0.000 9.300 0.000
0.000 0.000 14.911
Cs Tl Cl
8 4 20
direct
0.750 0.032 0.202 Cs
0.250 0.968 0.798 Cs
0.750 0.532 0.298 Cs
0.250 0.468 0.702 Cs
0.250 0.176 0.421 Cs
0.750 0.824 0.579 Cs
0.250 0.676 0.079 Cs
0.750 0.324 0.921 Cs
0.250 0.188 0.070 Tl
0.750 0.812 0.930 Tl
0.250 0.688 0.430 Tl
0.750 0.312 0.570 Tl
0.000 0.000 0.000 Cl
0.500 0.000 0.000 Cl
0.500 0.500 0.500 Cl
0.000 0.500 0.500 Cl
0.510 0.345 0.124 Cl
0.010 0.655 0.876 Cl
0.990 0.845 0.376 Cl
0.490 0.155 0.624 Cl
0.490 0.655 0.876 Cl
0.990 0.345 0.124 Cl
0.010 0.155 0.624 Cl
0.510 0.845 0.376 Cl
0.250 0.299 0.914 Cl
0.750 0.701 0.086 Cl
0.250 0.799 0.586 Cl
0.750 0.201 0.414 Cl
0.250 0.024 0.203 Cl
0.750 0.976 0.797 Cl
0.250 0.524 0.297 Cl
0.750 0.476 0.703 Cl

***

Cs3Tl2Cl9, relaxed, DFT GGA-PBEsol; uncorrected energy = -3.18 eV/atom; formation energy without anion corrections = -30.15 kcal/mol of atoms; Fermi-level density of states = 0.000 states/eV/atom
1.0
9.552 0.070 0.064
1.097 9.489 0.064
1.097 0.985 9.438
Cs Tl Cl
6 4 18
direct
0.089 0.411 0.750 Cs
0.750 0.089 0.411 Cs
0.411 0.750 0.089 Cs
0.911 0.589 0.250 Cs
0.250 0.911 0.589 Cs
0.589 0.250 0.911 Cs
0.649 0.649 0.649 Tl
0.351 0.351 0.351 Tl
0.149 0.149 0.149 Tl
0.851 0.851 0.851 Tl
0.592 0.908 0.750 Cl
0.750 0.592 0.908 Cl
0.908 0.750 0.592 Cl
0.408 0.092 0.250 Cl
0.250 0.408 0.092 Cl
0.092 0.250 0.408 Cl
0.414 0.587 0.768 Cl
0.768 0.414 0.587 Cl
0.587 0.768 0.414 Cl
0.586 0.413 0.232 Cl
0.232 0.586 0.413 Cl
0.413 0.232 0.586 Cl
0.268 0.087 0.914 Cl
0.087 0.914 0.268 Cl
0.914 0.268 0.087 Cl
0.732 0.913 0.086 Cl
0.913 0.086 0.732 Cl
0.086 0.732 0.913 Cl

***

CsTmCl3, relaxed, DFT GGA-PBEsol; uncorrected energy = -4.29 eV/atom; formation energy without anion corrections = -44.28 kcal/mol of atoms; Fermi-level density of states = 0.332 states/eV/atom
1.0
-2.723 -0.249 4.413
-2.484 -4.201 -1.770
3.656 -3.039 2.084
Cs Tm Cl
1 1 3
direct
0.000 0.000 0.000 Cs
0.500 0.500 0.500 Tm
0.000 0.500 0.500 Cl
0.500 0.500 0.000 Cl
0.500 0.000 0.500 Cl

***

CsW3Cl7, relaxed, DFT GGA-PBEsol; uncorrected energy = -6.12 eV/atom; formation energy without anion corrections = -22.74 kcal/mol of atoms; Fermi-level density of states = 0.000 states/eV/atom
1.0
9.739 0.000 0.000
-4.870 8.434 0.000
0.000 0.000 14.562
Cs W Cl
4 12 28
direct
0.000 0.000 0.034 Cs
0.000 0.000 0.534 Cs
0.333 0.667 0.290 Cs
0.667 0.333 0.790 Cs
0.512 0.178 0.213 W
0.822 0.334 0.213 W
0.178 0.512 0.713 W
0.666 0.488 0.213 W
0.334 0.822 0.713 W
0.488 0.666 0.713 W
0.513 0.336 0.359 W
0.664 0.177 0.359 W
0.336 0.513 0.859 W
0.823 0.487 0.359 W
0.177 0.664 0.859 W
0.487 0.823 0.859 W
0.369 0.043 0.357 Cl
0.957 0.326 0.357 Cl
0.043 0.369 0.857 Cl
0.674 0.631 0.357 Cl
0.326 0.957 0.857 Cl
0.631 0.674 0.857 Cl
0.039 0.346 0.125 Cl
0.654 0.693 0.125 Cl
0.346 0.039 0.625 Cl
0.307 0.961 0.125 Cl
0.693 0.654 0.625 Cl
0.961 0.307 0.625 Cl
0.333 0.667 0.993 Cl
0.667 0.333 0.493 Cl
0.333 0.667 0.579 Cl
0.667 0.333 0.079 Cl
0.371 0.330 0.215 Cl
0.670 0.041 0.215 Cl
0.330 0.371 0.715 Cl
0.959 0.629 0.215 Cl
0.041 0.670 0.715 Cl
0.629 0.959 0.715 Cl
0.310 0.351 0.448 Cl
0.649 0.959 0.448 Cl
0.351 0.310 0.948 Cl
0.041 0.690 0.448 Cl
0.959 0.649 0.948 Cl
0.690 0.041 0.948 Cl

***

CsW3Cl9, relaxed, DFT GGA-PBEsol; uncorrected energy = -5.64 eV/atom; formation energy without anion corrections = -22.89 kcal/mol of atoms; Fermi-level density of states = 0.407 states/eV/atom
1.0
8.451 0.000 0.000
0.000 9.561 0.000
0.000 -4.780 8.280
Cs W Cl
2 6 18
direct
0.541 0.333 0.667 Cs
0.459 0.667 0.333 Cs
0.877 0.828 0.013 W
0.123 0.816 0.828 W
0.123 0.013 0.184 W
0.877 0.987 0.816 W
0.123 0.172 0.987 W
0.877 0.184 0.172 W
0.298 0.371 0.974 Cl
0.702 0.974 0.603 Cl
0.001 0.184 0.770 Cl
0.702 0.397 0.371 Cl
0.001 0.585 0.816 Cl
0.999 0.415 0.184 Cl
0.686 0.014 0.203 Cl
0.686 0.190 0.986 Cl
0.001 0.230 0.415 Cl
0.999 0.770 0.585 Cl
0.314 0.810 0.014 Cl
0.314 0.986 0.797 Cl
0.314 0.203 0.190 Cl
0.686 0.797 0.810 Cl
0.999 0.816 0.230 Cl
0.298 0.026 0.397 Cl
0.702 0.629 0.026 Cl
0.298 0.603 0.629 Cl

***

CsY2Cl7, relaxed, DFT GGA-PBEsol; uncorrected energy = -5.15 eV/atom; formation energy without anion corrections = -52.79 kcal/mol of atoms; Fermi-level density of states = 0.000 states/eV/atom
1.0
6.894 0.000 0.000
0.000 12.503 0.000
0.000 0.000 13.566
Cs Y Cl
4 8 28
direct
0.250 0.797 0.038 Cs
0.750 0.203 0.962 Cs
0.750 0.297 0.462 Cs
0.250 0.703 0.538 Cs
0.250 0.452 0.242 Y
0.750 0.548 0.758 Y
0.750 0.952 0.258 Y
0.250 0.048 0.742 Y
0.250 0.148 0.248 Y
0.750 0.852 0.752 Y
0.750 0.648 0.252 Y
0.250 0.352 0.748 Y
0.007 0.299 0.180 Cl
0.993 0.701 0.820 Cl
0.993 0.799 0.320 Cl
0.507 0.701 0.820 Cl
0.007 0.201 0.680 Cl
0.493 0.299 0.180 Cl
0.493 0.201 0.680 Cl
0.507 0.799 0.320 Cl
0.010 0.566 0.128 Cl
0.990 0.434 0.872 Cl
0.990 0.066 0.372 Cl
0.510 0.434 0.872 Cl
0.010 0.934 0.628 Cl
0.490 0.566 0.128 Cl
0.490 0.934 0.628 Cl
0.510 0.066 0.372 Cl
0.010 0.033 0.132 Cl
0.990 0.967 0.868 Cl
0.990 0.533 0.368 Cl
0.510 0.967 0.868 Cl
0.010 0.467 0.632 Cl
0.490 0.033 0.132 Cl
0.490 0.467 0.632 Cl
0.510 0.533 0.368 Cl
0.250 0.302 0.389 Cl
0.750 0.698 0.611 Cl
0.750 0.802 0.111 Cl
0.250 0.198 0.889 Cl